[1]
VASP calculation (PBE) on ErIn2Cl8 after structural relaxation.

Values from the calculation:
E_tot in eV per atom: -3.61

a b c (Å): 6.799 9.159 9.159
angles (deg): 45.50 94.01 94.01
Positions (direct):
In 0.452 0.150 0.150
In 0.548 0.850 0.850
Cl 0.822 0.134 0.134
Cl 0.612 0.712 0.712
Cl 0.747 0.689 0.180
Cl 0.178 0.866 0.866
Cl 0.253 0.311 0.820
Cl 0.253 0.820 0.311
Cl 0.388 0.288 0.288
Cl 0.747 0.180 0.689
Er 0.000 0.000 0.000

=====

[2]
VASP calculation (PBE) on LiErIn2Cl6 after structural relaxation.

Values from the calculation:
E_tot in eV per atom: -3.91

a b c (Å): 7.220 7.374 10.281
angles (deg): 90.00 89.81 90.00
Positions (direct):
In 0.511 0.556 0.753
In 0.489 0.444 0.247
In 0.011 0.944 0.253
In 0.989 0.056 0.747
Li 0.500 0.000 0.000
Li 0.000 0.500 0.500
Cl 0.791 0.792 0.533
Cl 0.567 0.012 0.249
Cl 0.292 0.712 0.467
Cl 0.792 0.788 0.967
Cl 0.708 0.288 0.533
Cl 0.709 0.292 0.967
Cl 0.433 0.988 0.751
Cl 0.209 0.208 0.467
Cl 0.208 0.212 0.033
Cl 0.933 0.512 0.251
Cl 0.291 0.708 0.033
Cl 0.067 0.488 0.749
Er 0.000 0.500 0.000
Er 0.500 0.000 0.500

=====

[3]
VASP calculation (PBE) on ErInPbCl6 after structural relaxation.

Values from the calculation:
E_tot in eV per atom: -4.06

a b c (Å): 7.304 7.304 13.432
angles (deg): 90.00 90.00 120.00
Positions (direct):
Pb 0.333 0.667 0.250
Pb 0.667 0.333 0.750
Cl 0.648 0.029 0.363
Cl 0.619 0.971 0.863
Cl 0.029 0.648 0.863
Cl 0.352 0.381 0.863
Cl 0.619 0.648 0.637
Cl 0.029 0.381 0.637
Cl 0.352 0.971 0.637
Cl 0.381 0.029 0.137
Cl 0.971 0.619 0.363
Cl 0.648 0.619 0.137
Cl 0.971 0.352 0.137
Cl 0.381 0.352 0.363
Er 0.333 0.667 0.750
Er 0.667 0.333 0.250
In 0.000 0.000 0.500
In 0.000 0.000 0.000

=====

[4]
VASP calculation (PBE) on ErInPb2Cl8 after structural relaxation.

Values from the calculation:
E_tot in eV per atom: -3.92

a b c (Å): 6.832 6.548 8.910
angles (deg): 89.99 90.00 89.13
Positions (direct):
Cl 0.840 0.226 0.788
Cl 0.840 0.226 0.212
Cl 0.361 0.278 0.500
Cl 0.639 0.722 0.500
Cl 0.160 0.774 0.788
Cl 0.160 0.774 0.212
Cl 0.691 0.756 0.000
Cl 0.309 0.244 0.000
Pb 0.500 0.500 0.250
Pb 0.500 0.500 0.750
Er 0.000 0.000 0.000
In 0.000 0.000 0.500

=====

[5]
VASP calculation (PBE) on ErInSn2Cl8 after structural relaxation.

Values from the calculation:
E_tot in eV per atom: -3.89

a b c (Å): 6.857 6.447 8.939
angles (deg): 91.62 93.36 88.20
Positions (direct):
Cl 0.360 0.281 0.461
Cl 0.176 0.785 0.791
Cl 0.140 0.753 0.213
Cl 0.640 0.719 0.539
Cl 0.310 0.238 0.035
Cl 0.860 0.247 0.787
Cl 0.690 0.762 0.965
Cl 0.824 0.215 0.209
Er 0.000 0.000 0.000
In 0.000 0.000 0.500
Sn 0.514 0.505 0.751
Sn 0.486 0.495 0.249

=====

[6]
VASP calculation (PBE) on ErInSnCl6 after structural relaxation.

Values from the calculation:
E_tot in eV per atom: -4.04

a b c (Å): 7.217 7.217 6.805
angles (deg): 90.00 90.00 59.99
Positions (direct):
Cl 0.353 0.623 0.279
Cl 0.024 0.353 0.279
Cl 0.353 0.024 0.721
Cl 0.623 0.353 0.721
Cl 0.623 0.024 0.279
Cl 0.024 0.623 0.721
Sn 0.667 0.667 0.500
Er 0.333 0.333 0.500
In 0.000 0.000 0.000

=====

[7]
VASP calculation (PBE) on ErIrCl after structural relaxation.

Values from the calculation:
E_tot in eV per atom: -6.45

a b c (Å): 4.468 13.499 11.173
angles (deg): 31.26 78.48 70.69
Positions (direct):
Ir 0.398 0.689 0.324
Ir 0.602 0.311 0.676
Ir 0.807 0.882 0.121
Ir 0.193 0.118 0.879
Cl 0.685 0.797 0.536
Cl 0.937 0.270 0.083
Cl 0.063 0.730 0.917
Cl 0.315 0.203 0.464
Er 0.067 0.515 0.335
Er 0.933 0.485 0.665
Er 0.174 0.938 0.276
Er 0.826 0.062 0.724

=====

[8]
VASP calculation (PBE) on ErIrCl6 after structural relaxation.

Values from the calculation:
E_tot in eV per atom: -4.32

a b c (Å): 6.291 6.291 6.756
angles (deg): 62.26 62.26 60.01
Positions (direct):
Cl 0.923 0.610 0.239
Cl 0.077 0.390 0.761
Cl 0.772 0.077 0.761
Cl 0.390 0.772 0.761
Cl 0.228 0.923 0.239
Cl 0.610 0.228 0.239
Er 0.500 0.500 0.500
Ir 0.000 0.000 0.000

=====

For reference, formation energy (no corrections) by record: -1355, -1608, -1603, -1465, -1387, -1550, -1360, -1260 meV/atom.